No. 1
# PBE-GGA Ac2In2Ir, relaxed
data_Ac2In2Ir
_space_group_name_H-M_alt 'I 41/a m d'
_space_group_IT_number 141
_cell_length_a 4.952
_cell_length_b 4.952
_cell_length_c 25.498
_cell_angle_alpha 90.00
_cell_angle_beta 90.00
_cell_angle_gamma 90.00
loop_
_space_group_symop_operation_xyz
'x,y,z'
'-x,-y,-z'
'-y+1/4,x+3/4,z+1/4'
'y+1/4,-x+3/4,-z+1/4'
'-x+1/2,-y,z+1/2'
'x+1/2,y,-z+1/2'
'y+1/4,-x+1/4,z+3/4'
'-y+1/4,x+1/4,-z+3/4'
'x,-y,-z'
'-x,y,z'
'-y+1/4,-x+1/4,-z+3/4'
'y+1/4,x+1/4,z+3/4'
'-x+1/2,y,-z+1/2'
'x+1/2,-y,z+1/2'
'y+1/4,x+3/4,-z+1/4'
'-y+1/4,-x+3/4,z+1/4'
'x+1/2,y+1/2,z+1/2'
'-x+1/2,-y+1/2,-z+1/2'
'-y+3/4,x+1/4,z+3/4'
'y+3/4,-x+1/4,-z+3/4'
'-x,-y+1/2,z'
'x,y+1/2,-z'
'y+3/4,-x+3/4,z+1/4'
'-y+3/4,x+3/4,-z+1/4'
'x+1/2,-y+1/2,-z+1/2'
'-x+1/2,y+1/2,z+1/2'
'-y+3/4,-x+3/4,-z+1/4'
'y+3/4,x+3/4,z+1/4'
'-x,y+1/2,-z'
'x,-y+1/2,z'
'y+3/4,x+1/4,-z+3/4'
'-y+3/4,-x+1/4,z+3/4'
loop_
_atom_site_label
_atom_site_fract_x
_atom_site_fract_y
_atom_site_fract_z
Ac1 0.000 0.250 0.061
In1 0.000 0.250 0.199
Ir1 0.000 0.250 0.375
# Energy relative to the elements: -370 meV per atom
# Excess energy over the best structure of this formula in the dataset: 0.80 eV/f.u.
# Density of states at the Fermi level: 20.50 states/eV per cell



No. 2
# PBE-GGA Ac6InIr2, relaxed
data_Ac6InIr2
_space_group_name_H-M_alt 'I m m m'
_space_group_IT_number 71
_space_group_name_Hall '-I 2 2'
_cell_length_a 10.167
_cell_length_b 10.690
_cell_length_c 11.412
_cell_angle_alpha 90.00
_cell_angle_beta 90.00
_cell_angle_gamma 90.00
loop_
_atom_site_label
_atom_site_fract_x
_atom_site_fract_y
_atom_site_fract_z
Ac1 0.000 0.200 0.231
Ac2 0.186 0.500 0.164
Ac3 0.202 0.326 0.500
In1 0.000 0.000 0.000
In2 0.000 0.000 0.500
Ir1 0.000 0.326 0.000
Ir2 0.000 0.500 0.363
# Energy relative to the elements: -455 meV per atom
# Excess energy over the best structure of this formula in the dataset: 0.00 eV/f.u.
# Density of states at the Fermi level: 28.22 states/eV per cell



No. 3
# PBE-GGA Ac3InIr3, relaxed
data_Ac3InIr3
_space_group_name_H-M_alt 'P 63/m'
_space_group_IT_number 176
_space_group_name_Hall '-P 6c'
_cell_length_a 9.1223
_cell_length_b 9.1223
_cell_length_c 5.9690
_cell_angle_alpha 90.00
_cell_angle_beta 90.00
_cell_angle_gamma 120.00
loop_
_atom_site_label
_atom_site_fract_x
_atom_site_fract_y
_atom_site_fract_z
Ac1 0.0524 0.3498 0.2500
In1 0.3333 0.6667 0.7500
Ir1 0.0500 0.3695 0.7500
# Energy relative to the elements: -386 meV per atom
# Density of states at the Fermi level: 4.84 states/eV per cell



No. 4
# PBE-GGA Ac3In2Ir7, relaxed
data_Ac3In2Ir7
_space_group_name_H-M_alt 'R -3 m'
_space_group_IT_number 166
_space_group_name_Hall '-R 3 2"'
_cell_length_a 5.7379
_cell_length_b 5.7379
_cell_length_c 25.9710
_cell_angle_alpha 90.00
_cell_angle_beta 90.00
_cell_angle_gamma 120.00
loop_
_atom_site_label
_atom_site_fract_x
_atom_site_fract_y
_atom_site_fract_z
Ac1 0.0000 0.0000 0.0000
Ac2 0.0000 0.0000 0.1394
In1 0.0000 0.0000 0.3351
Ir1 0.0000 0.0000 0.5000
Ir2 0.0054 0.5027 0.9146
# Energy relative to the elements: -453 meV per atom
# Density of states at the Fermi level: 23.75 states/eV per cell



No. 5
# PBE-GGA Ac2InIr, relaxed
data_Ac2InIr
_space_group_name_H-M_alt 'R -3 m'
_space_group_IT_number 166
_space_group_name_Hall '-R 3 2"'
_cell_length_a 4.3050
_cell_length_b 4.3050
_cell_length_c 25.8603
_cell_angle_alpha 90.00
_cell_angle_beta 90.00
_cell_angle_gamma 120.00
loop_
_atom_site_label
_atom_site_fract_x
_atom_site_fract_y
_atom_site_fract_z
Ac1 0.0000 0.0000 0.2311
In1 0.0000 0.0000 0.0000
Ir1 0.0000 0.0000 0.5000
# Energy relative to the elements: -505 meV per atom
# Density of states at the Fermi level: 5.57 states/eV per cell



No. 6
# PBE-GGA Ac2InIr2, relaxed
data_Ac2InIr2
_space_group_name_H-M_alt 'I m m m'
_space_group_IT_number 71
_space_group_name_Hall '-I 2 2'
_cell_length_a 4.475
_cell_length_b 6.194
_cell_length_c 9.316
_cell_angle_alpha 90.00
_cell_angle_beta 90.00
_cell_angle_gamma 90.00
loop_
_atom_site_label
_atom_site_fract_x
_atom_site_fract_y
_atom_site_fract_z
Ac1 0.000 0.000 0.202
In1 0.000 0.500 0.000
Ir1 0.000 0.281 0.500
# Energy relative to the elements: -576 meV per atom
# Density of states at the Fermi level: 7.38 states/eV per cell



No. 7
# PBE-GGA Ac6InIr2, relaxed
data_Ac6InIr2
_space_group_name_H-M_alt 'C 1 2/c 1'
_space_group_IT_number 15
_cell_length_a 15.773
_cell_length_b 8.313
_cell_length_c 10.324
_cell_angle_alpha 90.00
_cell_angle_beta 113.08
_cell_angle_gamma 90.00
loop_
_space_group_symop_operation_xyz
'x,y,z'
'-x,-y,-z'
'-x,y,-z+1/2'
'x,-y,z+1/2'
'x+1/2,y+1/2,z'
'-x+1/2,-y+1/2,-z'
'-x+1/2,y+1/2,-z+1/2'
'x+1/2,-y+1/2,z+1/2'
loop_
_atom_site_label
_atom_site_fract_x
_atom_site_fract_y
_atom_site_fract_z
Ac1 0.110 0.231 0.148
Ac2 0.146 0.186 0.542
Ac3 0.153 0.385 0.856
In1 0.000 0.071 0.750
Ir1 0.232 0.018 0.843
# Energy relative to the elements: -344 meV per atom
# Excess energy over the best structure of this formula in the dataset: 1.00 eV/f.u.
# Density of states at the Fermi level: 32.70 states/eV per cell



No. 8
# PBE-GGA Ac4InIr2, relaxed
data_Ac4InIr2
_space_group_name_H-M_alt 'C m c m'
_space_group_IT_number 63
_space_group_name_Hall '-C 2c 2'
_cell_length_a 4.371
_cell_length_b 14.773
_cell_length_c 14.960
_cell_angle_alpha 90.00
_cell_angle_beta 90.00
_cell_angle_gamma 90.00
loop_
_atom_site_label
_atom_site_fract_x
_atom_site_fract_y
_atom_site_fract_z
Ac1 0.000 0.000 0.000
Ac2 0.000 0.266 0.108
Ac3 0.000 0.432 0.750
In1 0.000 0.111 0.750
Ir1 0.000 0.368 0.564
# Energy relative to the elements: -554 meV per atom
# Density of states at the Fermi level: 20.11 states/eV per cell



No. 9
# PBE-GGA Ac3In7Ir4, relaxed
data_Ac3In7Ir4
_space_group_name_H-M_alt 'C 1 2/m 1'
_space_group_IT_number 12
_cell_length_a 17.074
_cell_length_b 4.539
_cell_length_c 10.396
_cell_angle_alpha 90.00
_cell_angle_beta 123.10
_cell_angle_gamma 90.00
loop_
_space_group_symop_operation_xyz
'x,y,z'
'-x,-y,-z'
'-x,y,-z'
'x,-y,z'
'x+1/2,y+1/2,z'
'-x+1/2,-y+1/2,-z'
'-x+1/2,y+1/2,-z'
'x+1/2,-y+1/2,z'
loop_
_atom_site_label
_atom_site_fract_x
_atom_site_fract_y
_atom_site_fract_z
Ac1 0.000 0.000 0.000
Ac2 0.194 0.500 0.708
In1 0.000 0.000 0.500
In2 0.007 0.500 0.288
In3 0.164 0.000 0.430
In4 0.180 0.500 0.023
Ir1 0.114 0.000 0.833
Ir2 0.162 0.500 0.273
# Energy relative to the elements: -444 meV per atom
# Density of states at the Fermi level: 17.26 states/eV per cell



No. 10
# PBE-GGA Ac8In3Ir, relaxed
data_Ac8In3Ir
_space_group_name_H-M_alt 'I 4/m m m'
_space_group_IT_number 139
_space_group_name_Hall '-I 4 2'
_cell_length_a 7.857
_cell_length_b 7.857
_cell_length_c 15.685
_cell_angle_alpha 90.00
_cell_angle_beta 90.00
_cell_angle_gamma 90.00
loop_
_atom_site_label
_atom_site_fract_x
_atom_site_fract_y
_atom_site_fract_z
Ac1 0.237 0.237 0.119
In1 0.000 0.000 0.500
In2 0.000 0.500 0.250
Ir1 0.000 0.000 0.000
# Energy relative to the elements: -200 meV per atom
# Density of states at the Fermi level: 32.13 states/eV per cell



No. 11
# PBE-GGA Ac6In2Ir, relaxed
data_Ac6In2Ir
_space_group_name_H-M_alt 'P 1 21/c 1'
_space_group_IT_number 14
_cell_length_a 7.719
_cell_length_b 8.113
_cell_length_c 13.620
_cell_angle_alpha 90.00
_cell_angle_beta 123.32
_cell_angle_gamma 90.00
loop_
_space_group_symop_operation_xyz
'x,y,z'
'-x,-y,-z'
'-x,y+1/2,-z+1/2'
'x,-y+1/2,z+1/2'
loop_
_atom_site_label
_atom_site_fract_x
_atom_site_fract_y
_atom_site_fract_z
Ac1 0.146 0.191 0.458
Ac2 0.273 0.687 0.459
Ac3 0.345 0.014 0.250
In1 0.213 0.078 0.747
Ir1 0.500 0.000 0.500
# Energy relative to the elements: -347 meV per atom
# Excess energy over the best structure of this formula in the dataset: 0.00 eV/f.u.
# Density of states at the Fermi level: 18.82 states/eV per cell



No. 12
# PBE-GGA Ac2In9Ir3, relaxed
data_Ac2In9Ir3
_space_group_name_H-M_alt 'C 1 2/c 1'
_space_group_IT_number 15
_cell_length_a 14.596
_cell_length_b 8.368
_cell_length_c 11.644
_cell_angle_alpha 90.00
_cell_angle_beta 115.01
_cell_angle_gamma 90.00
loop_
_space_group_symop_operation_xyz
'x,y,z'
'-x,-y,-z'
'-x,y,-z+1/2'
'x,-y,z+1/2'
'x+1/2,y+1/2,z'
'-x+1/2,-y+1/2,-z'
'-x+1/2,y+1/2,-z+1/2'
'x+1/2,-y+1/2,z+1/2'
loop_
_atom_site_label
_atom_site_fract_x
_atom_site_fract_y
_atom_site_fract_z
Ac1 0.170 0.082 0.250
In1 0.000 0.364 0.250
In2 0.059 0.079 0.926
In3 0.102 0.413 0.055
In4 0.106 0.313 0.748
In5 0.225 0.415 0.427
Ir1 0.085 0.246 0.502
Ir2 0.250 0.250 0.000
# Energy relative to the elements: -351 meV per atom
# Density of states at the Fermi level: 26.67 states/eV per cell



No. 13
# PBE-GGA AcIn6Ir4, relaxed
data_AcIn6Ir4
_space_group_name_H-M_alt 'I -4 2 m'
_space_group_IT_number 121
_space_group_name_Hall 'I -4 2'
_cell_length_a 7.039
_cell_length_b 7.039
_cell_length_c 10.092
_cell_angle_alpha 90.00
_cell_angle_beta 90.00
_cell_angle_gamma 90.00
loop_
_atom_site_label
_atom_site_fract_x
_atom_site_fract_y
_atom_site_fract_z
Ac1 0.000 0.000 0.000
In1 0.000 0.500 0.000
In2 0.181 0.181 0.705
Ir1 0.174 0.174 0.425
# Energy relative to the elements: -277 meV per atom
# Density of states at the Fermi level: 14.91 states/eV per cell



No. 14
# PBE-GGA AcInIr, relaxed
data_AcInIr
_space_group_name_H-M_alt 'I 4 m m'
_space_group_IT_number 107
_space_group_name_Hall 'I 4 -2'
_cell_length_a 3.558
_cell_length_b 3.558
_cell_length_c 11.942
_cell_angle_alpha 90.00
_cell_angle_beta 90.00
_cell_angle_gamma 90.00
loop_
_atom_site_label
_atom_site_fract_x
_atom_site_fract_y
_atom_site_fract_z
Ac1 0.000 0.000 0.000
In1 0.000 0.000 0.277
Ir1 0.000 0.000 0.661
# Energy relative to the elements: -278 meV per atom
# Excess energy over the best structure of this formula in the dataset: 0.97 eV/f.u.
# Density of states at the Fermi level: 4.17 states/eV per cell



No. 15
# PBE-GGA AcInIr, relaxed
data_AcInIr
_space_group_name_H-M_alt 'P n m a'
_space_group_IT_number 62
_cell_length_a 14.970
_cell_length_b 4.680
_cell_length_c 4.681
_cell_angle_alpha 90.00
_cell_angle_beta 90.00
_cell_angle_gamma 90.00
loop_
_space_group_symop_operation_xyz
'x,y,z'
'-x,-y,-z'
'-x+1/2,-y,z+1/2'
'x+1/2,y,-z+1/2'
'x+1/2,-y+1/2,-z+1/2'
'-x+1/2,y+1/2,z+1/2'
'-x,y+1/2,-z'
'x,-y+1/2,z'
loop_
_atom_site_label
_atom_site_fract_x
_atom_site_fract_y
_atom_site_fract_z
Ac1 0.103 0.250 0.247
In1 0.149 0.750 0.747
Ir1 0.250 0.250 0.747
# Energy relative to the elements: -428 meV per atom
# Excess energy over the best structure of this formula in the dataset: 0.52 eV/f.u.
# Density of states at the Fermi level: 10.09 states/eV per cell



No. 16
# PBE-GGA Ac2In2Ir, relaxed
data_Ac2In2Ir
_space_group_name_H-M_alt 'C 1 2/m 1'
_space_group_IT_number 12
_cell_length_a 12.791
_cell_length_b 4.115
_cell_length_c 12.306
_cell_angle_alpha 90.00
_cell_angle_beta 110.33
_cell_angle_gamma 90.00
loop_
_space_group_symop_operation_xyz
'x,y,z'
'-x,-y,-z'
'-x,y,-z'
'x,-y,z'
'x+1/2,y+1/2,z'
'-x+1/2,-y+1/2,-z'
'-x+1/2,y+1/2,-z'
'x+1/2,-y+1/2,z'
loop_
_atom_site_label
_atom_site_fract_x
_atom_site_fract_y
_atom_site_fract_z
Ac1 0.006 0.000 0.341
Ac2 0.194 0.000 0.134
In1 0.037 0.500 0.895
In2 0.189 0.500 0.559
Ir1 0.165 0.500 0.305
# Energy relative to the elements: -529 meV per atom
# Excess energy over the best structure of this formula in the dataset: 0.00 eV/f.u.
# Density of states at the Fermi level: 12.83 states/eV per cell



No. 17
# PBE-GGA Ac12In5Ir2, relaxed
data_Ac12In5Ir2
_space_group_name_H-M_alt 'C 1 2/m 1'
_space_group_IT_number 12
_cell_length_a 18.582
_cell_length_b 8.647
_cell_length_c 10.497
_cell_angle_alpha 90.00
_cell_angle_beta 106.67
_cell_angle_gamma 90.00
loop_
_space_group_symop_operation_xyz
'x,y,z'
'-x,-y,-z'
'-x,y,-z'
'x,-y,z'
'x+1/2,y+1/2,z'
'-x+1/2,-y+1/2,-z'
'-x+1/2,y+1/2,-z'
'x+1/2,-y+1/2,z'
loop_
_atom_site_label
_atom_site_fract_x
_atom_site_fract_y
_atom_site_fract_z
Ac1 0.000 0.000 0.208
Ac2 0.014 0.500 0.820
Ac3 0.149 0.253 0.574
Ac4 0.165 0.239 0.095
In1 0.000 0.500 0.500
In2 0.191 0.000 0.840
In3 0.199 0.000 0.368
Ir1 0.000 0.243 0.000
# Energy relative to the elements: -269 meV per atom
# Density of states at the Fermi level: 36.54 states/eV per cell



No. 18
# PBE-GGA Ac2InIr, relaxed
data_Ac2InIr
_space_group_name_H-M_alt 'P n m a'
_space_group_IT_number 62
_cell_length_a 7.667
_cell_length_b 5.872
_cell_length_c 12.101
_cell_angle_alpha 90.00
_cell_angle_beta 90.00
_cell_angle_gamma 90.00
loop_
_space_group_symop_operation_xyz
'x,y,z'
'-x,-y,-z'
'-x+1/2,-y,z+1/2'
'x+1/2,y,-z+1/2'
'x+1/2,-y+1/2,-z+1/2'
'-x+1/2,y+1/2,z+1/2'
'-x,y+1/2,-z'
'x,-y+1/2,z'
loop_
_atom_site_label
_atom_site_fract_x
_atom_site_fract_y
_atom_site_fract_z
Ac1 0.044 0.250 0.229
Ac2 0.175 0.250 0.556
In1 0.194 0.250 0.860
Ir1 0.173 0.750 0.570
# Energy relative to the elements: -479 meV per atom
# Density of states at the Fermi level: 14.18 states/eV per cell



No. 19
# PBE-GGA Ac3In2Ir3, relaxed
data_Ac3In2Ir3
_space_group_name_H-M_alt 'P 63/m c m'
_space_group_IT_number 193
_space_group_name_Hall '-P 6c 2'
_cell_length_a 8.7430
_cell_length_b 8.7430
_cell_length_c 6.1679
_cell_angle_alpha 90.00
_cell_angle_beta 90.00
_cell_angle_gamma 120.00
loop_
_atom_site_label
_atom_site_fract_x
_atom_site_fract_y
_atom_site_fract_z
Ac1 0.0000 0.2754 0.2500
In1 0.3333 0.6667 0.0000
Ir1 0.0000 0.3963 0.7500
# Energy relative to the elements: -451 meV per atom
# Density of states at the Fermi level: 12.18 states/eV per cell



No. 20
# PBE-GGA Ac2InIr, relaxed
data_Ac2InIr
_space_group_name_H-M_alt 'C 1 2/m 1'
_space_group_IT_number 12
_cell_length_a 12.753
_cell_length_b 4.431
_cell_length_c 5.314
_cell_angle_alpha 90.00
_cell_angle_beta 114.49
_cell_angle_gamma 90.00
loop_
_space_group_symop_operation_xyz
'x,y,z'
'-x,-y,-z'
'-x,y,-z'
'x,-y,z'
'x+1/2,y+1/2,z'
'-x+1/2,-y+1/2,-z'
'-x+1/2,y+1/2,-z'
'x+1/2,-y+1/2,z'
loop_
_atom_site_label
_atom_site_fract_x
_atom_site_fract_y
_atom_site_fract_z
Ac1 0.163 0.000 0.163
In1 0.000 0.500 0.500
Ir1 0.000 0.500 0.000
# Energy relative to the elements: -448 meV per atom
# Density of states at the Fermi level: 7.28 states/eV per cell